A plane-wave DFT calculation with PBE-GGA was carried out for an optimized crystal structure of K2TlPbSe4.

```
K2TlPbSe4
1.0
6.250 -6.248 0.000
6.250 6.248 0.000
-6.194 0.000 6.259
K Tl Pb Se
4 2 2 8
Cartesian
0.000 0.000 0.000 K
-3.097 0.000 3.130 K
3.125 3.124 0.000 K
0.028 -3.124 3.130 K
6.250 0.000 0.000 Tl
3.153 0.000 3.130 Tl
0.028 3.124 3.130 Pb
3.125 -3.124 0.000 Pb
3.034 2.925 3.253 Se
0.176 2.925 6.136 Se
0.219 0.122 3.305 Se
3.316 -0.122 0.175 Se
2.991 0.122 6.084 Se
6.088 -0.122 2.954 Se
6.131 -2.925 0.123 Se
3.273 -2.925 3.006 Se
```

Summary:
Formation energy (no corrections) ... -0.59 eV per atom
VASP energy ... -3.37 eV/atom



A plane-wave DFT calculation with PBE-GGA was carried out for an optimized crystal structure of MgCdPt3.

```
MgCdPt3
1.0
4.941 0.000 0.000
0.000 4.941 0.000
0.000 0.000 4.941
Mg Cd Pt
1 1 3
Cartesian
0.000 0.000 0.000 Mg
2.471 2.471 2.471 Cd
0.000 2.471 2.471 Pt
2.471 0.000 2.471 Pt
2.471 2.471 0.000 Pt
```

Summary:
E_form ... 0.866 eV per atom
VASP energy ... -3.26 eV/atom
ΔE to the lowest computed polymorph ... 356 meV/atom



A plane-wave DFT calculation with PBE-GGA was carried out for an optimized crystal structure of Tb7Ho2Er3.

```
Tb7Ho2Er3
1.0
5.743 0.000 0.000
0.000 3.555 0.000
-1.187 0.000 18.530
Tb Ho Er
7 2 3
Cartesian
0.000 0.000 0.000 Tb
0.831 1.777 3.338 Tb
0.845 1.777 9.935 Tb
0.826 0.000 15.863 Tb
3.730 0.000 2.667 Tb
3.712 1.777 8.596 Tb
3.725 1.777 15.193 Tb
0.849 1.777 13.051 Ho
3.707 1.777 5.479 Ho
0.823 0.000 6.816 Er
2.872 1.777 0.000 Er
3.733 0.000 11.715 Er
```

Summary:
E_form ... 0.089 eV per atom
VASP energy ... -4.52 eV/atom
ΔE to the lowest computed polymorph ... 70 meV/atom



A plane-wave DFT calculation with PBE-GGA was carried out for an optimized crystal structure of KCdSb4.

```
KCdSb4
1.0
0.000 4.526 4.526
4.526 0.000 4.526
4.526 4.526 0.000
K Cd Sb
1 1 4
Cartesian
0.000 0.000 0.000 K
2.263 2.263 2.263 Cd
5.633 3.420 3.420 Sb
3.420 5.633 3.420 Sb
3.420 3.420 5.633 Sb
5.633 5.633 5.633 Sb
```

Summary:
Formation energy (no corrections) ... -0.03 eV per atom
VASP energy ... -3.11 eV/atom



A plane-wave DFT calculation with PBE-GGA was carried out for an optimized crystal structure of GaRuBr3.

```
GaRuBr3
1.0
5.225 0.000 0.000
0.000 5.225 0.000
0.000 0.000 5.225
Ga Ru Br
1 1 3
Cartesian
0.000 0.000 0.000 Ga
2.613 2.613 2.613 Ru
0.000 0.000 2.613 Br
0.000 2.613 0.000 Br
2.613 0.000 0.000 Br
```

Summary:
Formation energy (no corrections) ... 0.55 eV per atom
VASP energy ... -2.91 eV/atom
ΔE to the lowest computed polymorph ... 559 meV/atom



A plane-wave DFT calculation with PBE-GGA was carried out for an optimized crystal structure of LiCeYAg.

```
LiCeYAg
1.0
7.408 0.000 0.000
0.000 7.408 0.000
0.000 0.000 7.408
Li Ce Y Ag
4 4 4 4
Cartesian
0.000 0.000 0.000 Li
0.000 3.704 3.704 Li
3.704 0.000 3.704 Li
3.704 3.704 0.000 Li
1.852 1.852 1.852 Ce
1.852 5.556 5.556 Ce
5.556 1.852 5.556 Ce
5.556 5.556 1.852 Ce
1.852 1.852 5.556 Y
1.852 5.556 1.852 Y
5.556 1.852 1.852 Y
5.556 5.556 5.556 Y
0.000 0.000 3.704 Ag
0.000 3.704 0.000 Ag
3.704 0.000 0.000 Ag
3.704 3.704 3.704 Ag
```

Summary:
E_form ... 0.033 eV per atom
VASP energy ... -4.26 eV/atom



A plane-wave DFT calculation with PBE-GGA was carried out for an optimized crystal structure of La6CuIr3.

```
La6CuIr3
1.0
12.156 0.000 0.000
0.000 4.259 0.000
-4.455 0.000 11.642
La Cu Ir
12 2 6
Cartesian
-1.171 1.065 4.548 La
-3.025 3.195 10.923 La
-0.530 1.065 9.032 La
1.905 3.195 3.134 La
2.445 1.065 6.592 La
4.902 1.065 1.202 La
2.799 3.195 10.440 La
5.256 3.195 5.050 La
5.796 1.065 8.509 La
8.231 3.195 2.610 La
10.726 1.065 0.719 La
8.872 3.195 7.095 La
-0.046 3.195 6.571 Cu
7.747 1.065 5.071 Cu
-3.464 1.065 9.057 Ir
11.165 3.195 2.585 Ir
-0.158 3.195 10.961 Ir
3.607 1.065 3.938 Ir
4.094 3.195 7.704 Ir
7.859 1.065 0.681 Ir
```

Summary:
E_form ... -0.562 eV per atom
VASP energy ... -6.59 eV/atom



A plane-wave DFT calculation with PBE-GGA was carried out for an optimized crystal structure of CdPPtC2.

```
CdPPtC2
1.0
3.576 0.000 0.000
0.000 3.576 0.000
0.000 0.000 7.068
Cd P Pt C
1 1 1 2
Cartesian
0.000 0.000 0.000 Cd
0.000 0.000 3.534 P
1.788 1.788 0.000 Pt
0.000 1.788 3.534 C
1.788 0.000 3.534 C
```

Summary:
E_form ... 1.699 eV per atom
VASP energy ... -4.46 eV/atom



- The highest VASP energy belongs to which entry?
  GaRuBr3



- VASP energy of number 5 (GaRuBr3)?
  -2.91 eV/atom



- The lowest VASP energy belongs to which entry?
  La6CuIr3



- VASP energy of number 3 (Tb7Ho2Er3)?
  -4.52 eV/atom